! Mg2Tc, optimized geometry, DFT PBE; values from VASP
! M_tot (μB/cell): 0.00
! Space-group type: P-3m1 (164)
! ΔH_f (0 K) (eV per atom): 0.2473
! Polymorph energy (0 for the lowest one) (meV per atom): 241.7
! Volume (Å³/atom): 16.996
&SYSTEM
  ibrav = 0, nat = 3, ntyp = 2
/
ATOMIC_SPECIES
Mg 24.30 Mg.upf
Tc 98.00 Tc.upf
CELL_PARAMETERS angstrom
4.6745 0.0000 0.0000
-2.3372 4.0482 0.0000
0.0000 0.0000 2.6945
ATOMIC_POSITIONS angstrom
Mg 0.0000 2.6988 0.4225
Mg 2.3372 1.3494 2.2720
Tc 0.0000 0.0000 1.3472